Record 1
Li3Pu3NiS8 | PBE | relaxed

Cell: 7.670 7.670 7.518 Å, 120.67 90.00 120.00°
Each line ends with the local moment (μB).
Sites, in units of the cell vectors:
S (0.772, 0.998, 0.269)  -0.08
S (0.249, 0.497, 0.246)  -0.12
S (0.772, 0.543, 0.269)  -0.08
S (0.751, 0.503, 0.754)  -0.12
S (0.226, 0.998, 0.269)  -0.08
S (0.774, 0.002, 0.731)  -0.08
S (0.228, 0.457, 0.731)  -0.08
S (0.228, 0.002, 0.731)  -0.08
Li (0.000, 0.000, 0.000)  -0.01
Li (0.000, 0.500, 0.000)  -0.01
Li (0.500, 0.500, 0.000)  -0.01
Pu (0.000, 0.500, 0.500)  4.83
Pu (0.500, 0.500, 0.500)  4.83
Pu (0.500, 0.000, 0.500)  4.83
Ni (0.000, 0.000, 0.500)  0.80

Computed properties:
Final energy = -7.08 eV per atom
Formation energy without anion corrections = -120.0 kJ/mol of atoms



Record 2
Li3Pu2NiSe6 | PBE | relaxed

Cell: 6.813 6.813 6.840 Å, 99.54 99.54 120.02°
Each line ends with the local moment (μB).
Sites, in units of the cell vectors:
Li (0.832, 0.168, 0.500)  -0.01
Li (0.500, 0.500, 0.500)  -0.01
Li (0.168, 0.832, 0.500)  -0.01
Ni (0.000, 0.000, 0.000)  -1.19
Se (0.918, 0.602, 0.753)  -0.18
Se (0.602, 0.918, 0.753)  -0.18
Se (0.233, 0.233, 0.756)  -0.19
Se (0.082, 0.398, 0.247)  -0.18
Se (0.767, 0.767, 0.244)  -0.19
Se (0.398, 0.082, 0.247)  -0.18
Pu (0.667, 0.333, 0.000)  4.80
Pu (0.333, 0.667, 0.000)  4.80

Computed properties:
Final energy = -6.17 eV per atom
Formation energy without anion corrections = -103.9 kJ/mol of atoms



Record 3
Li3Pu3NiSe8 | PBE | relaxed

Cell: 8.021 8.018 7.905 Å, 120.51 90.00 120.01°
Each line ends with the local moment (μB).
Sites, in units of the cell vectors:
Li (0.000, 0.000, 0.000)  -0.01
Li (0.000, 0.500, 0.000)  -0.01
Li (0.500, 0.500, 0.000)  -0.01
Se (0.772, 0.994, 0.267)  -0.09
Se (0.753, 0.506, 0.758)  -0.12
Se (0.247, 0.494, 0.242)  -0.12
Se (0.772, 0.544, 0.267)  -0.09
Se (0.222, 0.994, 0.267)  -0.09
Se (0.228, 0.456, 0.733)  -0.09
Se (0.228, 0.006, 0.733)  -0.09
Se (0.778, 0.006, 0.733)  -0.09
Pu (0.500, 0.000, 0.500)  4.96
Pu (0.000, 0.500, 0.500)  4.96
Pu (0.500, 0.500, 0.500)  4.96
Ni (0.000, 0.000, 0.500)  0.61

Computed properties:
Final energy = -6.61 eV per atom
Formation energy without anion corrections = -107.3 kJ/mol of atoms



Record 4
LiPu2Si3Ni4 | PBE | relaxed

Cell: 3.950 3.950 9.705 Å, 90.00 90.00 90.00°
Each line ends with the local moment (μB).
Sites, in units of the cell vectors:
Li (0.500, 0.500, 0.500)  0.04
Pu (0.500, 0.000, 0.251)  5.01
Pu (0.000, 0.500, 0.749)  5.01
Si (0.000, 0.500, 0.127)  -0.03
Si (0.500, 0.000, 0.873)  -0.03
Si (0.000, 0.000, 0.500)  -0.04
Ni (0.000, 0.000, 0.000)  0.04
Ni (0.500, 0.500, 0.000)  0.03
Ni (0.500, 0.000, 0.635)  -0.08
Ni (0.000, 0.500, 0.365)  -0.08

Computed properties:
Final energy = -7.51 eV per atom
Formation energy without anion corrections = -49.7 kJ/mol of atoms



Record 5
LiPuNiSn | PBE | relaxed

Cell: 4.682 4.682 4.682 Å, 60.00 60.00 60.00°
Each line ends with the local moment (μB).
Sites, in units of the cell vectors:
Li (0.000, 0.000, 0.000)  0.04
Ni (0.500, 0.500, 0.500)  -0.27
Pu (0.750, 0.750, 0.750)  5.13
Sn (0.250, 0.250, 0.250)  -0.09

Computed properties:
Final energy = -6.79 eV per atom
ΔH_f (0 K) = -282 meV per atom



Record 6
LiPuTcNi | PBE | relaxed

Cell: 4.409 4.409 4.409 Å, 60.00 60.00 60.00°
Each line ends with the local moment (μB).
Sites, in units of the cell vectors:
Li (0.250, 0.250, 0.250)  0.01
Tc (0.500, 0.500, 0.500)  -0.75
Ni (0.000, 0.000, 0.000)  -0.20
Pu (0.750, 0.750, 0.750)  4.66

Computed properties:
Final energy = -8.01 eV per atom
ΔH_f (0 K) = 85 meV per atom



Record 7
RbLi2Ni2 | PBE | relaxed

Cell: 4.626 4.626 5.891 Å, 66.88 66.88 90.00°
Each line ends with the local moment (μB).
Sites, in units of the cell vectors:
Ni (0.617, 0.617, 0.766)  0.40
Ni (0.383, 0.383, 0.234)  0.40
Li (0.250, 0.750, 0.500)  -0.01
Li (0.750, 0.250, 0.500)  -0.01
Rb (0.000, 0.000, 0.000)  -0.01

Computed properties:
Final energy = -2.76 eV per atom
ΔH_f (0 K) = 508 meV per atom



Record 8
RbLi3Ni | PBE | relaxed

Cell: 5.041 5.041 5.041 Å, 90.00 90.00 90.00°
Sites, in units of the cell vectors:
Li (0.500, 0.000, 0.000)
Li (0.000, 0.000, 0.500)
Li (0.000, 0.500, 0.000)
Ni (0.000, 0.000, 0.000)
Rb (0.500, 0.500, 0.500)

Computed properties:
Final energy = -2.20 eV per atom
ΔH_f (0 K) = 300 meV per atom



Record 9
RbLi2Ni2 | PBE | relaxed

Cell: 8.017 8.017 2.902 Å, 90.00 90.00 90.00°
Each line ends with the local moment (μB).
Sites, in units of the cell vectors:
Ni (0.896, 0.604, 0.000)  0.39
Ni (0.396, 0.896, 0.000)  0.37
Ni (0.104, 0.396, 0.000)  0.39
Ni (0.604, 0.104, 0.000)  0.37
Li (0.840, 0.340, 0.500)  -0.01
Li (0.340, 0.160, 0.500)  -0.01
Li (0.160, 0.660, 0.500)  -0.01
Li (0.660, 0.840, 0.500)  -0.01
Rb (0.500, 0.500, 0.000)  -0.01
Rb (0.000, 0.000, 0.000)  -0.01

Computed properties:
Final energy = -2.82 eV per atom
ΔH_f (0 K) = 455 meV per atom



Record 10
Rb2LiNi | PBE | relaxed

Cell: 5.965 5.965 5.965 Å, 60.00 60.00 60.00°
Sites, in units of the cell vectors:
Li (0.000, 0.000, 0.000)
Ni (0.500, 0.500, 0.500)
Rb (0.750, 0.750, 0.750)
Rb (0.250, 0.250, 0.250)

Computed properties:
Final energy = -1.71 eV per atom
ΔH_f (0 K) = 697 meV per atom



Record 11
RbLi3Ni | PBE | relaxed

Cell: 4.966 4.966 4.966 Å, 90.00 90.00 90.00°
Each line ends with the local moment (μB).
Sites, in units of the cell vectors:
Li (0.000, 0.000, 0.500)  0.00
Li (0.500, 0.000, 0.000)  0.00
Li (0.000, 0.500, 0.000)  0.00
Ni (0.500, 0.500, 0.500)  0.35
Rb (0.000, 0.000, 0.000)  -0.01

Computed properties:
Final energy = -1.26 eV per atom
ΔH_f (0 K) = 1238 meV per atom



Record 12
RbLiSc2Ni | PBE | relaxed

Cell: 4.939 5.677 4.939 Å, 90.00 90.00 90.00°
Sites, in units of the cell vectors:
Rb (0.500, 0.500, 0.500)
Sc (0.500, 0.000, 0.000)
Sc (0.000, 0.000, 0.500)
Li (0.000, 0.500, 0.000)
Ni (0.000, 0.000, 0.000)

Computed properties:
Final energy = -4.01 eV per atom
ΔH_f (0 K) = 253 meV per atom



Number 1: calculated density 5.73 g cm⁻³. Number 2: calculated density 6.67 g cm⁻³. Number 3: calculated density 6.72 g cm⁻³. Number 4: calculated density 8.93 g cm⁻³. Number 5: calculated density 9.80 g cm⁻³. Number 6: calculated density 11.17 g cm⁻³. Number 7: calculated density 3.43 g cm⁻³. Number 8: calculated density 2.14 g cm⁻³. Number 9: calculated density 3.86 g cm⁻³. Number 10: calculated density 2.62 g cm⁻³. Number 11: calculated density 2.24 g cm⁻³. Number 12: calculated density 2.89 g cm⁻³.